Entry 1:
# SnIN2

A geometry-optimized SnIN2 structure (PBE, the Alexandria database).

Unit cell a=5.7825 b=5.7825 c=9.0337 alpha=90.00 beta=90.00 gamma=90.00
Space group I-42d (No. 122)
Inequivalent atoms, fractional coordinates:
Sn: 0.0000 0.0000 0.0000
I: 0.0000 0.0000 0.5000
N: 0.1817 0.2500 0.1250

Fermi-level density of states = 4.3 states/eV/f.u.
Uncorrected formation energy = 110.7 kJ/mol of atoms
Calculated volume = 302.1 Å³/cell
Magnetic moment = 0.00 μB per formula unit
DFT total energy = -4.403 eV/atom

Entry 2:
# SnIN3

A geometry-optimized SnIN3 structure (PBE, the Alexandria database).

Unit cell a=4.1737 b=4.1737 c=4.1737 alpha=90.00 beta=90.00 gamma=90.00
Space group Pm-3m (No. 221)
Inequivalent atoms, fractional coordinates:
Sn: 0.0000 0.0000 0.0000
I: 0.5000 0.5000 0.5000
N: 0.0000 0.0000 0.5000

Fermi-level density of states = 4.7 states/eV/f.u.
Uncorrected formation energy = 184.1 kJ/mol of atoms
Calculated volume = 72.7 Å³/cell
Magnetic moment = 0.00 μB per formula unit
DFT total energy = -4.198 eV/atom

Entry 3:
# SnIN

A geometry-optimized SnIN structure (PBE, the Alexandria database).

Unit cell a=11.0950 b=4.6882 c=7.6950 alpha=90.00 beta=90.28 gamma=90.00
Space group P2_1/c (No. 14)
Inequivalent atoms, fractional coordinates:
Sn: 0.0496 0.2475 0.1275
I: 0.2551 0.0923 0.3643
N: 0.4037 0.7349 0.1258

Fermi-level density of states = 0.3 states/eV/f.u.
Uncorrected formation energy = 151.6 kJ/mol of atoms
Calculated volume = 400.3 Å³/cell
Magnetic moment = 2.91 μB per formula unit
DFT total energy = -3.054 eV/atom

Entry 4:
# SnIN

A geometry-optimized SnIN structure (PBE, the Alexandria database).

Unit cell a=11.0454 b=4.0684 c=11.3331 alpha=90.00 beta=117.12 gamma=90.00
Space group C2/m (No. 12)
Inequivalent atoms, fractional coordinates:
Sn: 0.1962 0.0000 0.0929
I: 0.2031 0.0000 0.6835
N: 0.0000 0.3506 0.0000

Fermi-level density of states = 1.3 states/eV/f.u.
Uncorrected formation energy = 6.3 kJ/mol of atoms
Calculated volume = 453.3 Å³/cell
Magnetic moment = 0.00 μB per formula unit
DFT total energy = -4.561 eV/atom

Entry 5:
# SnIN

A geometry-optimized SnIN structure (PBE, the Alexandria database).

Unit cell a=11.6728 b=4.2039 c=8.7239 alpha=90.00 beta=122.26 gamma=90.00
Space group Cm (No. 8)
Inequivalent atoms, fractional coordinates:
Sn: 0.0000 0.0000 0.0000
Sn: 0.1175 0.5000 0.7946
I: 0.2699 0.0000 0.6602
I: 0.4244 0.0000 0.1949
N: 0.1069 0.0000 0.6894
N: 0.2913 0.5000 0.7507

Uncorrected formation energy = 61.0 kJ/mol of atoms
Calculated volume = 362.0 Å³/cell
Magnetic moment = 0.00 μB per formula unit
DFT total energy = -3.994 eV/atom

Entry 6:
# SnI2N2

A geometry-optimized SnI2N2 structure (PBE, the Alexandria database).

Unit cell a=4.3490 b=4.3490 c=7.8239 alpha=90.00 beta=90.00 gamma=90.00
Space group P4/mmm (No. 123)
Inequivalent atoms, fractional coordinates:
Sn: 0.0000 0.0000 0.0000
I: 0.0000 0.0000 0.5000
I: 0.5000 0.5000 0.5000
N: 0.0000 0.5000 0.0000

Fermi-level density of states = 2.2 states/eV/f.u.
Uncorrected formation energy = 132.0 kJ/mol of atoms
Calculated volume = 148.0 Å³/cell
Magnetic moment = 2.29 μB per formula unit
DFT total energy = -3.382 eV/atom

Entry 7:
# SnIN

A geometry-optimized SnIN structure (PBE, the Alexandria database).

Unit cell a=3.8152 b=5.8565 c=8.2182 alpha=74.09 beta=87.96 gamma=71.17
Space group P1 (No. 1)
Inequivalent atoms, fractional coordinates:
Sn: 0.0000 0.0000 0.0000
Sn: 0.2574 0.4987 0.9373
I: 0.6650 0.7156 0.6311
I: 0.7644 0.4669 0.3120
N: 0.4380 0.1416 0.8986
N: 0.8118 0.3641 0.0814

Fermi-level density of states = 0.0 states/eV/f.u.
Uncorrected formation energy = 35.7 kJ/mol of atoms
Calculated volume = 166.9 Å³/cell
Magnetic moment = 0.00 μB per formula unit
DFT total energy = -4.256 eV/atom

Entry 8:
# SnI3N

A geometry-optimized SnI3N structure (PBE, the Alexandria database).

Unit cell a=6.0205 b=6.0205 c=6.0205 alpha=90.00 beta=90.00 gamma=90.00
Space group Pm-3m (No. 221)
Inequivalent atoms, fractional coordinates:
Sn: 0.0000 0.0000 0.0000
I: 0.0000 0.0000 0.5000
N: 0.5000 0.5000 0.5000

Fermi-level density of states = 4.4 states/eV/f.u.
Uncorrected formation energy = 81.9 kJ/mol of atoms
Calculated volume = 218.2 Å³/cell
Magnetic moment = 3.00 μB per formula unit
DFT total energy = -2.547 eV/atom

Entry 9:
# SnIN2

A geometry-optimized SnIN2 structure (PBE, the Alexandria database).

Unit cell a=3.4013 b=3.4013 c=19.8991 alpha=90.00 beta=90.00 gamma=120.00
Space group R-3m (No. 166, hexagonal axes)
Inequivalent atoms, fractional coordinates:
Sn: 0.0000 0.0000 0.0000
I: 0.0000 0.0000 0.5000
N: 0.0000 0.0000 0.3889

Fermi-level density of states = 1.7 states/eV/f.u.
Uncorrected formation energy = 66.6 kJ/mol of atoms
Calculated volume = 199.4 Å³/cell
Magnetic moment = 0.00 μB per formula unit
DFT total energy = -4.861 eV/atom

Entry 10:
# SnI3N

A geometry-optimized SnI3N structure (PBE, the Alexandria database).

Unit cell a=11.3404 b=8.2601 c=12.0725 alpha=90.00 beta=115.79 gamma=90.00
Space group C2/m (No. 12)
Inequivalent atoms, fractional coordinates:
Sn: 0.0000 0.2370 0.0000
I: 0.0829 0.0000 0.2199
I: 0.1754 0.5000 0.9553
I: 0.2011 0.0000 0.6529
N: 0.2213 0.5000 0.4642

Uncorrected formation energy = 51.6 kJ/mol of atoms
Calculated volume = 1018.2 Å³/cell
Magnetic moment = 1.98 μB per formula unit
DFT total energy = -2.861 eV/atom

Entry 11:
# SnIN2

A geometry-optimized SnIN2 structure (PBE, the Alexandria database).

Unit cell a=6.2680 b=6.2680 c=6.2680 alpha=90.00 beta=90.00 gamma=90.00
Space group Fm-3m (No. 225)
Inequivalent atoms, fractional coordinates:
Sn: 0.0000 0.0000 0.0000
I: 0.0000 0.0000 0.5000
N: 0.2500 0.2500 0.2500

Fermi-level density of states = 2.2 states/eV/f.u.
Uncorrected formation energy = 188.4 kJ/mol of atoms
Calculated volume = 246.3 Å³/cell
Magnetic moment = 0.00 μB per formula unit
DFT total energy = -3.599 eV/atom

Entry 12:
# SnIN

A geometry-optimized SnIN structure (PBE, the Alexandria database).

Unit cell a=6.2191 b=3.5956 c=7.6206 alpha=90.00 beta=103.90 gamma=90.00
Space group Cm (No. 8)
Inequivalent atoms, fractional coordinates:
Sn: 0.0000 0.0000 0.0000
I: 0.1105 0.0000 0.3822
N: 0.1457 0.5000 0.9289

Fermi-level density of states = 0.5 states/eV/f.u.
Uncorrected formation energy = 29.9 kJ/mol of atoms
Calculated volume = 165.4 Å³/cell
Magnetic moment = 0.00 μB per formula unit
DFT total energy = -4.316 eV/atom

Entry 13:
# SnI2N2

A geometry-optimized SnI2N2 structure (PBE, the Alexandria database).

Unit cell a=7.8921 b=4.5542 c=11.4658 alpha=90.00 beta=93.82 gamma=90.00
Space group C2/m (No. 12)
Inequivalent atoms, fractional coordinates:
Sn: 0.0000 0.0000 0.0000
I: 0.1512 0.5000 0.8377
N: 0.0547 0.0000 0.4717

Fermi-level density of states = 0.0 states/eV/f.u.
Uncorrected formation energy = -29.5 kJ/mol of atoms
Calculated volume = 411.2 Å³/cell
Magnetic moment = 0.00 μB per formula unit
DFT total energy = -5.057 eV/atom

Entry 14:
# SnIN3

A geometry-optimized SnIN3 structure (PBE, the Alexandria database).

Unit cell a=4.0474 b=4.0474 c=4.0474 alpha=90.00 beta=90.00 gamma=90.00
Space group Pm-3m (No. 221)
Inequivalent atoms, fractional coordinates:
Sn: 0.0000 0.0000 0.0000
I: 0.5000 0.5000 0.5000
N: 0.0000 0.5000 0.5000

Fermi-level density of states = 1.9 states/eV/f.u.
Uncorrected formation energy = 182.5 kJ/mol of atoms
Calculated volume = 66.3 Å³/cell
Magnetic moment = 0.00 μB per formula unit
DFT total energy = -4.215 eV/atom

Entry 15:
# SnI3N

A geometry-optimized SnI3N structure (PBE, the Alexandria database).

Unit cell a=5.1397 b=5.1397 c=5.1397 alpha=90.00 beta=90.00 gamma=90.00
Space group Pm-3m (No. 221)
Inequivalent atoms, fractional coordinates:
Sn: 0.0000 0.0000 0.0000
I: 0.0000 0.5000 0.5000
N: 0.5000 0.5000 0.5000

Fermi-level density of states = 2.0 states/eV/f.u.
Uncorrected formation energy = 71.1 kJ/mol of atoms
Calculated volume = 135.8 Å³/cell
Magnetic moment = 0.00 μB per formula unit
DFT total energy = -2.659 eV/atom

Entry 16:
# SnIN2

A geometry-optimized SnIN2 structure (PBE, the Alexandria database).

Unit cell a=3.4347 b=3.4347 c=21.1815 alpha=90.00 beta=90.00 gamma=120.00
Space group R-3m (No. 166, hexagonal axes)
Inequivalent atoms, fractional coordinates:
Sn: 0.0000 0.0000 0.0000
I: 0.0000 0.0000 0.5000
N: 0.0000 0.0000 0.1104

Fermi-level density of states = 1.4 states/eV/f.u.
Uncorrected formation energy = 141.4 kJ/mol of atoms
Calculated volume = 216.4 Å³/cell
Magnetic moment = 0.00 μB per formula unit
DFT total energy = -4.085 eV/atom

Entry 17:
# SrSnI2N

A geometry-optimized SrSnI2N structure (PBE, the Alexandria database).

Unit cell a=6.3593 b=6.3593 c=4.0354 alpha=90.00 beta=90.00 gamma=90.00
Space group P4/mmm (No. 123)
Inequivalent atoms, fractional coordinates:
Sr: 0.0000 0.0000 0.0000
Sn: 0.5000 0.5000 0.5000
I: 0.0000 0.5000 0.5000
N: 0.5000 0.5000 0.0000

Fermi-level density of states = 0.8 states/eV/f.u.
Uncorrected formation energy = -15.1 kJ/mol of atoms
Calculated volume = 163.2 Å³/cell
Magnetic moment = 0.00 μB per formula unit
DFT total energy = -3.578 eV/atom

Entry 18:
# SrSnIN2

A geometry-optimized SrSnIN2 structure (PBE, the Alexandria database).

Unit cell a=4.3950 b=4.3950 c=6.0054 alpha=90.00 beta=90.00 gamma=90.00
Space group P4/mmm (No. 123)
Inequivalent atoms, fractional coordinates:
Sr: 0.0000 0.0000 0.0000
Sn: 0.5000 0.5000 0.5000
I: 0.5000 0.5000 0.0000
N: 0.0000 0.5000 0.5000

Fermi-level density of states = 1.2 states/eV/f.u.
Uncorrected formation energy = 49.6 kJ/mol of atoms
Calculated volume = 116.0 Å³/cell
Magnetic moment = 1.05 μB per formula unit
DFT total energy = -4.263 eV/atom

Entry 19:
# SrSnI2N

A geometry-optimized SrSnI2N structure (PBE, the Alexandria database).

Unit cell a=6.3891 b=6.3891 c=4.7653 alpha=90.00 beta=90.00 gamma=90.00
Space group P4/mmm (No. 123)
Inequivalent atoms, fractional coordinates:
Sr: 0.0000 0.0000 0.0000
Sn: 0.5000 0.5000 0.5000
I: 0.0000 0.5000 0.0000
N: 0.0000 0.0000 0.5000

Fermi-level density of states = 3.7 states/eV/f.u.
Uncorrected formation energy = 23.4 kJ/mol of atoms
Calculated volume = 194.5 Å³/cell
Magnetic moment = 1.25 μB per formula unit
DFT total energy = -3.180 eV/atom

Entry 20:
# SrSnIN2

A geometry-optimized SrSnIN2 structure (PBE, the Alexandria database).

Unit cell a=4.8973 b=4.8973 c=6.4079 alpha=90.00 beta=90.00 gamma=90.00
Space group P4/mmm (No. 123)
Inequivalent atoms, fractional coordinates:
Sr: 0.0000 0.0000 0.0000
Sn: 0.5000 0.5000 0.5000
I: 0.0000 0.0000 0.5000
N: 0.0000 0.5000 0.0000

Fermi-level density of states = 2.4 states/eV/f.u.
Uncorrected formation energy = 109.1 kJ/mol of atoms
Calculated volume = 153.7 Å³/cell
Magnetic moment = 3.03 μB per formula unit
DFT total energy = -3.646 eV/atom